Entry from the Alexandria database: a relaxed structure of SrVP2O6 (PBE with a Hubbard U).

Properties
DFT total energy = -70.4 eV/f.u.
N(E_F) = 0.303 states/eV per atom
Mass density = 3.59 g/cm³
Space-group type = R-3

a b c (Å): 6.892 6.892 6.892
angles (deg): 42.84 42.84 42.84
Fractional positions:
Sr1 0.000 0.000 0.000
V1 0.500 0.500 0.500
P1 0.257 0.257 0.257
P2 0.743 0.743 0.743
O1 0.081 0.741 0.488
O2 0.259 0.512 0.919
O3 0.488 0.081 0.741
O4 0.512 0.919 0.259
O5 0.741 0.488 0.081
O6 0.919 0.259 0.512